1.
# PaGa2PbCl8

A relaxed structure of PaGa2PbCl8 (PBE, Alexandria via LeMat-Bulk).

Cell: 7.018 6.817 8.673 Å, 90.04 89.97 93.14°
Each line ends with the local moment (μB).
Fractional positions:
Pa 0.000 0.000 0.000  1.05
Ga 0.500 0.500 0.732  0.00
Ga 0.500 0.500 0.268  0.00
Pb 0.000 0.000 0.500  0.00
Cl 0.149 0.789 0.229  -0.01
Cl 0.695 0.764 0.000  -0.02
Cl 0.851 0.210 0.229  -0.01
Cl 0.851 0.211 0.771  -0.01
Cl 0.305 0.236 0.000  -0.02
Cl 0.149 0.790 0.771  -0.01
Cl 0.676 0.722 0.500  0.00
Cl 0.324 0.278 0.500  0.00

Properties
total DFT energy (no corrections)	-4.144	eV/atom
size of the total moment	0.084	μB per atom
energy relative to the elements, uncorrected	-1308	meV per atom



2.
# TaPtRh2

A relaxed structure of TaPtRh2 (PBE, Alexandria via LeMat-Bulk).

Cell: 4.451 4.451 4.451 Å, 60.00 60.00 60.00°
Fractional positions:
Ta 0.250 0.250 0.250
Pt 0.500 0.500 0.500
Rh 0.000 0.000 0.000
Rh 0.750 0.750 0.750

Properties
total DFT energy (no corrections)	-8.442	eV/atom
E_form	-0.29	eV per atom
size of the total moment	0.000	μB per atom



3.
# VBOs2

A relaxed structure of VBOs2 (PBE, Alexandria via LeMat-Bulk).

Cell: 2.779 2.779 8.000 Å, 80.00 80.00 60.00°
Fractional positions:
B 0.500 0.500 0.500
Os 0.103 0.103 0.691
Os 0.897 0.897 0.309
V 0.000 0.000 0.000

Properties
total DFT energy (no corrections)	-9.139	eV/atom
E_form	0.42	eV per atom
size of the total moment	0.000	μB per atom